(1)
Below is Rb at its PBEsol-relaxed geometry, with properties calculated at the SCAN level.

magnetization = 0.0 μB per formula unit
energy above the lowest structure with this stoichiometry = 10 meV/atom
ΔE_f = 10 meV per atom
space-group type = I-43m, No. 217

```
Rb
1.0
-10.472 3.682 -9.752
3.858 -14.121 -2.012
-5.198 1.779 13.716
Rb
29
Direct
0.000 0.000 0.000 Rb
0.000 0.362 0.000 Rb
0.000 0.593 0.317 Rb
0.000 0.000 0.362 Rb
0.000 0.317 0.593 Rb
0.000 0.810 0.625 Rb
0.000 0.625 0.810 Rb
0.185 0.375 0.375 Rb
0.190 0.815 0.190 Rb
0.190 0.190 0.815 Rb
0.277 0.683 0.683 Rb
0.317 0.593 0.000 Rb
0.317 0.000 0.593 Rb
0.362 0.000 0.000 Rb
0.375 0.375 0.185 Rb
0.375 0.185 0.375 Rb
0.407 0.723 0.407 Rb
0.407 0.407 0.723 Rb
0.593 0.317 0.000 Rb
0.593 0.000 0.317 Rb
0.625 0.810 0.000 Rb
0.625 0.000 0.810 Rb
0.638 0.638 0.638 Rb
0.683 0.683 0.277 Rb
0.683 0.277 0.683 Rb
0.723 0.407 0.407 Rb
0.810 0.625 0.000 Rb
0.810 0.000 0.625 Rb
0.815 0.190 0.190 Rb
```

=====

(2)
Below is Ba3W2O9 at its PBEsol-relaxed geometry, with properties calculated at the SCAN level.

magnetization = 0.0 μB per formula unit
energy relative to the elements, uncorrected = -2869.7 meV per atom
space-group type = R-3c, No. 167

```
Ba3W2O9
1.0
-4.077 -1.722 6.004
-1.486 -6.949 -2.266
5.692 -3.065 3.721
Ba W O
6 4 18
Direct
0.920 0.250 0.580 Ba
0.250 0.580 0.920 Ba
0.580 0.920 0.250 Ba
0.080 0.750 0.420 Ba
0.420 0.080 0.750 Ba
0.750 0.420 0.080 Ba
0.145 0.145 0.145 W
0.355 0.355 0.355 W
0.855 0.855 0.855 W
0.645 0.645 0.645 W
0.927 0.087 0.252 O
0.252 0.927 0.087 O
0.087 0.252 0.927 O
0.413 0.573 0.248 O
0.248 0.413 0.573 O
0.573 0.248 0.413 O
0.073 0.913 0.748 O
0.748 0.073 0.913 O
0.913 0.748 0.073 O
0.587 0.427 0.752 O
0.396 0.250 0.104 O
0.250 0.104 0.396 O
0.104 0.396 0.250 O
0.604 0.750 0.896 O
0.750 0.896 0.604 O
0.896 0.604 0.750 O
0.427 0.752 0.587 O
0.752 0.587 0.427 O
```

=====

(3)
Below is ZnHg2Ru at its PBEsol-relaxed geometry, with properties calculated at the SCAN level.

magnetization = 1.1 μB per formula unit
ΔE_f = 443 meV per atom
space-group type = Pmmm, No. 47

```
ZnHg2Ru
1.0
2.952 0.000 0.000
0.000 3.993 0.000
0.000 0.000 5.732
Hg Ru Zn
2 1 1
Direct
0.000 0.000 0.752 Hg
0.000 0.000 0.248 Hg
0.500 0.500 0.000 Ru
0.500 0.500 0.500 Zn
```

=====

Question: What is the magnetization in the third record?
Answer: 1.1 μB per formula unit

=====

Question: What is the magnetization in the third record?
Answer: 1.1 μB per formula unit